(1)
Density functional theory data (PBE) for a relaxed structure of CePa3.

The structure in CIF format:
```
data_CePa3
_cell_length_a 3.124
_cell_length_b 5.593
_cell_length_c 5.697
_cell_angle_alpha 90.00
_cell_angle_beta 90.00
_cell_angle_gamma 90.00
_symmetry_space_group_name_H-M 'P 1'
_symmetry_Int_Tables_number 1
loop_
_symmetry_equiv_pos_as_xyz
'x,y,z'
loop_
_atom_site_label
_atom_site_type_symbol
_atom_site_fract_x
_atom_site_fract_y
_atom_site_fract_z
Ce1 Ce 0.000 0.000 0.000
Pa1 Pa 0.000 0.500 0.262
Pa2 Pa 0.500 0.000 0.494
Pa3 Pa 0.500 0.500 0.757
```

Summary:
Electronic total energy (eV per atom): -8.556
Energy of formation (eV/atom): 0.05
Spin magnetization (μB/f.u.): 0.0
E above lowest polymorph (eV/atom): 0.0140
Space-group type: Pmm2
D(E_F) (states/eV/f.u.): 7.9

=====

(2)
Density functional theory data (PBE) for a relaxed structure of VTeN3.

The structure in CIF format:
```
data_VTeN3
_cell_length_a 3.882
_cell_length_b 3.882
_cell_length_c 3.882
_cell_angle_alpha 90.00
_cell_angle_beta 90.00
_cell_angle_gamma 90.00
_symmetry_space_group_name_H-M 'P 1'
_symmetry_Int_Tables_number 1
loop_
_symmetry_equiv_pos_as_xyz
'x,y,z'
loop_
_atom_site_label
_atom_site_type_symbol
_atom_site_fract_x
_atom_site_fract_y
_atom_site_fract_z
V1 V 0.000 0.000 0.000
Te1 Te 0.500 0.500 0.500
N1 N 0.000 0.000 0.500
N2 N 0.000 0.500 0.000
N3 N 0.500 0.000 0.000
```

Summary:
Electronic total energy (eV per atom): -6.684
Spin magnetization (μB/f.u.): 0.3
Space-group type: Pm-3m
D(E_F) (states/eV/f.u.): 2.7
Formation energy from raw total energies (eV/atom): 0.764

=====

(3)
Density functional theory data (PBE) for a relaxed structure of PbSBr2.

The structure in CIF format:
```
data_PbSBr2
_cell_length_a 6.924
_cell_length_b 6.924
_cell_length_c 6.924
_cell_angle_alpha 104.66
_cell_angle_beta 104.66
_cell_angle_gamma 119.58
_symmetry_space_group_name_H-M 'P 1'
_symmetry_Int_Tables_number 1
loop_
_symmetry_equiv_pos_as_xyz
'x,y,z'
loop_
_atom_site_label
_atom_site_type_symbol
_atom_site_fract_x
_atom_site_fract_y
_atom_site_fract_z
Pb1 Pb 0.000 0.000 0.000
Pb2 Pb 0.750 0.250 0.500
S1 S 0.250 0.750 0.500
S2 S 0.500 0.500 0.000
Br1 Br 0.108 0.125 0.483
Br2 Br 0.375 0.892 0.017
Br3 Br 0.642 0.625 0.517
Br4 Br 0.875 0.358 0.983
```

Summary:
Electronic total energy (eV per atom): -2.765
Spin magnetization (μB/f.u.): 2.0
E above lowest polymorph (eV/atom): 0.0000
Space-group type: I-42d
D(E_F) (states/eV/f.u.): 0.1
Formation energy from raw total energies (eV/atom): 0.031

=====

(4)
Density functional theory data (PBE) for a relaxed structure of SrSnGe2.

The structure in CIF format:
```
data_SrSnGe2
_cell_length_a 4.735
_cell_length_b 4.735
_cell_length_c 4.393
_cell_angle_alpha 90.00
_cell_angle_beta 90.00
_cell_angle_gamma 90.00
_symmetry_space_group_name_H-M 'P 1'
_symmetry_Int_Tables_number 1
loop_
_symmetry_equiv_pos_as_xyz
'x,y,z'
loop_
_atom_site_label
_atom_site_type_symbol
_atom_site_fract_x
_atom_site_fract_y
_atom_site_fract_z
Sr1 Sr 0.000 0.000 0.000
Sn1 Sn 0.500 0.500 0.000
Ge1 Ge 0.000 0.500 0.500
Ge2 Ge 0.500 0.000 0.500
```

Summary:
Electronic total energy (eV per atom): -3.950
Energy of formation (eV/atom): -0.22
Spin magnetization (μB/f.u.): 0.0
Space-group type: P4/mmm
D(E_F) (states/eV/f.u.): 1.9

=====

(5)
Density functional theory data (PBE) for a relaxed structure of PrDyPu2Se4.

The structure in CIF format:
```
data_PrDyPu2Se4
_cell_length_a 7.191
_cell_length_b 4.144
_cell_length_c 7.233
_cell_angle_alpha 90.00
_cell_angle_beta 109.28
_cell_angle_gamma 90.00
_symmetry_space_group_name_H-M 'P 1'
_symmetry_Int_Tables_number 1
loop_
_symmetry_equiv_pos_as_xyz
'x,y,z'
loop_
_atom_site_label
_atom_site_type_symbol
_atom_site_fract_x
_atom_site_fract_y
_atom_site_fract_z
Pr1 Pr 0.000 0.000 0.000
Dy1 Dy 0.500 0.500 0.000
Pu1 Pu 0.000 0.500 0.500
Pu2 Pu 0.500 0.000 0.500
Se1 Se 0.257 0.000 0.751
Se2 Se 0.259 0.500 0.255
Se3 Se 0.741 0.500 0.745
Se4 Se 0.743 0.000 0.249
```

Summary:
Electronic total energy (eV per atom): -8.177
Spin magnetization (μB/f.u.): 11.6
Space-group type: P2/m
D(E_F) (states/eV/f.u.): 18.4
Formation energy from raw total energies (eV/atom): -1.679

=====

(6)
Density functional theory data (PBE) for a relaxed structure of Ba2Zn2PdO6.

The structure in CIF format:
```
data_Ba2Zn2PdO6
_cell_length_a 6.511
_cell_length_b 6.511
_cell_length_c 6.511
_cell_angle_alpha 54.36
_cell_angle_beta 54.36
_cell_angle_gamma 54.36
_symmetry_space_group_name_H-M 'P 1'
_symmetry_Int_Tables_number 1
loop_
_symmetry_equiv_pos_as_xyz
'x,y,z'
loop_
_atom_site_label
_atom_site_type_symbol
_atom_site_fract_x
_atom_site_fract_y
_atom_site_fract_z
Ba1 Ba 0.215 0.215 0.215
Ba2 Ba 0.785 0.785 0.785
Zn1 Zn 0.405 0.405 0.405
Zn2 Zn 0.595 0.595 0.595
Pd1 Pd 0.000 0.000 0.000
O1 O 0.222 0.767 0.767
O2 O 0.233 0.233 0.778
O3 O 0.233 0.778 0.233
O4 O 0.767 0.222 0.767
O5 O 0.767 0.767 0.222
O6 O 0.778 0.233 0.233
```

Summary:
Electronic total energy (eV per atom): -5.248
Spin magnetization (μB/f.u.): 0.0
Space-group type: R-3m
Formation energy from raw total energies (eV/atom): -1.490

=====

Number 4 is which compound? SrSnGe2

=====

Repeat the fourth record exactly.
Density functional theory data (PBE) for a relaxed structure of SrSnGe2.

The structure in CIF format:
```
data_SrSnGe2
_cell_length_a 4.735
_cell_length_b 4.735
_cell_length_c 4.393
_cell_angle_alpha 90.00
_cell_angle_beta 90.00
_cell_angle_gamma 90.00
_symmetry_space_group_name_H-M 'P 1'
_symmetry_Int_Tables_number 1
loop_
_symmetry_equiv_pos_as_xyz
'x,y,z'
loop_
_atom_site_label
_atom_site_type_symbol
_atom_site_fract_x
_atom_site_fract_y
_atom_site_fract_z
Sr1 Sr 0.000 0.000 0.000
Sn1 Sn 0.500 0.500 0.000
Ge1 Ge 0.000 0.500 0.500
Ge2 Ge 0.500 0.000 0.500
```

Summary:
Electronic total energy (eV per atom): -3.950
Energy of formation (eV/atom): -0.22
Spin magnetization (μB/f.u.): 0.0
Space-group type: P4/mmm
D(E_F) (states/eV/f.u.): 1.9

=====

Which value of spin magnetization does entry 3 give? 2.0 μB/f.u.

=====

Which of these has the highest spin magnetization? PrDyPu2Se4